Material: BaTcRu2O8
Method: DFT, GGA-PBE
State: optimized geometry

Output
Space group: P-3 (147)
VASP energy (eV/atom): -7.109
Magnetic moment (μB per formula unit): 0.0
Raw formation energy (eV/atom): -1.234

Lattice parameters (Å, degrees): 5.4281 5.4281 7.4903 90.00 90.00 120.00
Positions (direct):
Ba1 0.0000 0.0000 0.0000
Tc1 0.0000 0.0000 0.5000
O1 0.9517 0.6925 0.3393
O2 0.6925 0.7407 0.6607
O3 0.0483 0.3075 0.6607
O4 0.3075 0.2593 0.3393
O5 0.2593 0.9517 0.6607
O6 0.7407 0.0483 0.3393
O7 0.6667 0.3333 0.0295
O8 0.3333 0.6667 0.9705
Ru1 0.6667 0.3333 0.2693
Ru2 0.3333 0.6667 0.7307

---

Material: Ba2TcRu3O12
Method: DFT, GGA-PBE
State: optimized geometry

Output
Space group: R-3m (166)
VASP energy (eV/atom): -7.062
Magnetic moment (μB per formula unit): 2.4
Raw formation energy (eV/atom): -1.421

Lattice parameters (Å, degrees): 7.2379 7.2379 7.2379 58.81 58.81 58.81
Positions (direct):
O1 0.0693 0.6823 0.0693
O2 0.6727 0.0771 0.6727
O3 0.3273 0.9229 0.3273
O4 0.0693 0.0693 0.6823
O5 0.0771 0.6727 0.6727
O6 0.9229 0.3273 0.3273
O7 0.6823 0.0693 0.0693
O8 0.6727 0.6727 0.0771
O9 0.9307 0.9307 0.3177
O10 0.3177 0.9307 0.9307
O11 0.9307 0.3177 0.9307
O12 0.3273 0.3273 0.9229
Ru1 0.5000 0.0000 0.0000
Ru2 0.0000 0.5000 0.0000
Ru3 0.0000 0.0000 0.5000
Ba1 0.3837 0.3837 0.3837
Ba2 0.6163 0.6163 0.6163
Tc1 0.0000 0.0000 0.0000

---

Material: BaThRu2O8
Method: DFT, GGA-PBE
State: optimized geometry

Output
Space group: P-3m1 (164)
VASP energy (eV/atom): -7.387
Magnetic moment (μB per formula unit): 2.1
Raw formation energy (eV/atom): -1.757

Lattice parameters (Å, degrees): 5.9332 5.9332 7.7498 90.00 90.00 120.00
Positions (direct):
O1 0.3333 0.6667 0.0164
O2 0.3306 0.1659 0.3016
O3 0.8352 0.6694 0.3016
O4 0.1659 0.8352 0.6984
O5 0.8341 0.1648 0.3016
O6 0.1648 0.3306 0.6984
O7 0.6667 0.3333 0.9836
O8 0.6694 0.8341 0.6984
Th1 0.0000 0.0000 0.5000
Ru1 0.3333 0.6667 0.7876
Ru2 0.6667 0.3333 0.2124
Ba1 0.0000 0.0000 0.0000

---

Material: Ba2TiRu3O12
Method: DFT, GGA-PBE
State: optimized geometry

Output
Space group: R-3m (166)
VASP energy (eV/atom): -7.131
Magnetic moment (μB per formula unit): 5.3
Raw formation energy (eV/atom): -1.627

Lattice parameters (Å, degrees): 7.1569 7.1569 7.1569 60.02 60.02 60.02
Positions (direct):
Ba1 0.3736 0.3736 0.3736
Ba2 0.6264 0.6264 0.6264
O1 0.9262 0.9262 0.3258
O2 0.0738 0.6742 0.0738
O3 0.6761 0.6761 0.0773
O4 0.6761 0.0773 0.6761
O5 0.0738 0.0738 0.6742
O6 0.3239 0.3239 0.9227
O7 0.0773 0.6761 0.6761
O8 0.9227 0.3239 0.3239
O9 0.6742 0.0738 0.0738
O10 0.3239 0.9227 0.3239
O11 0.3258 0.9262 0.9262
O12 0.9262 0.3258 0.9262
Ru1 0.0000 0.0000 0.5000
Ru2 0.5000 0.0000 0.0000
Ru3 0.0000 0.5000 0.0000
Ti1 0.0000 0.0000 0.0000

---

Material: BaTlRu2O8
Method: DFT, GGA-PBE
State: optimized geometry

Output
Space group: C2/m (12)
VASP energy (eV/atom): -6.373
Magnetic moment (μB per formula unit): 3.0
Raw formation energy (eV/atom): -1.164

Lattice parameters (Å, degrees): 5.5147 5.5147 8.9878 90.21 90.21 69.36
Positions (direct):
O1 0.7418 0.2671 0.7414
O2 0.7329 0.2582 0.2586
O3 0.7120 0.7120 0.4193
O4 0.2880 0.2880 0.5807
O5 0.2947 0.2947 0.9121
O6 0.2582 0.7329 0.2586
O7 0.7053 0.7053 0.0879
O8 0.2671 0.7418 0.7414
Ru1 0.6037 0.6037 0.2534
Ru2 0.3963 0.3963 0.7466
Ba1 0.0000 0.0000 0.5000
Tl1 0.0000 0.0000 0.0000

---

Material: Ba2Tl2RuO6
Method: DFT, GGA-PBE
State: optimized geometry

Output
Space group: C2/m (12)
VASP energy (eV/atom): -5.770
Magnetic moment (μB per formula unit): 2.0
Raw formation energy (eV/atom): -1.443

Lattice parameters (Å, degrees): 6.4454 6.4454 6.2422 96.37 96.37 119.15
Positions (direct):
Tl1 0.1498 0.8502 0.0000
Tl2 0.8502 0.1498 0.0000
O1 0.0427 0.2990 0.6700
O2 0.9573 0.7010 0.3300
O3 0.1873 0.1873 0.2822
O4 0.8127 0.8127 0.7178
O5 0.2990 0.0427 0.6700
O6 0.7010 0.9573 0.3300
Ba1 0.6618 0.3382 0.5000
Ba2 0.3382 0.6618 0.5000
Ru1 0.0000 0.0000 0.5000

---

Material: BaTlRuO6
Method: DFT, GGA-PBE
State: optimized geometry

Output
Space group: C2 (5)
VASP energy (eV/atom): -5.967
Magnetic moment (μB per formula unit): 1.0
Raw formation energy (eV/atom): -1.154

Lattice parameters (Å, degrees): 5.8561 5.8561 5.4311 91.30 88.70 57.41
Positions (direct):
Tl1 0.6712 0.6712 0.4999
O1 0.6260 0.3212 0.6772
O2 0.0806 0.5337 0.7339
O3 0.5338 0.0807 0.2661
O4 0.0155 0.3825 0.3009
O5 0.3826 0.0155 0.6991
O6 0.3209 0.6262 0.3229
Ba1 0.0218 0.0218 0.9999
Ru1 0.3473 0.3474 0.5000

---

Material: BaTl2RuO8
Method: DFT, GGA-PBE
State: optimized geometry

Output
Space group: P-1 (2)
VASP energy (eV/atom): -5.535
Magnetic moment (μB per formula unit): 0.0
Raw formation energy (eV/atom): -0.902

Lattice parameters (Å, degrees): 5.7453 4.4032 7.3888 68.67 89.69 92.04
Positions (direct):
O1 0.6881 0.7997 0.9508
O2 0.1623 0.8201 0.8622
O3 0.0753 0.6407 0.2521
O4 0.3119 0.2003 0.0492
O5 0.9247 0.3593 0.7479
O6 0.8377 0.1799 0.1378
O7 0.5199 0.1660 0.4989
O8 0.4801 0.8340 0.5011
Ba1 0.0000 0.0000 0.5000
Tl1 0.5469 0.3796 0.7966
Tl2 0.4531 0.6204 0.2034
Ru1 0.0000 0.0000 0.0000

---

Material: Ba3TmRu2O9
Method: DFT, GGA-PBE
State: optimized geometry

Output
Space group: P-3m1 (164)
VASP energy (eV/atom): -7.107
Magnetic moment (μB per formula unit): 4.9
Raw formation energy (eV/atom): -2.212

Lattice parameters (Å, degrees): 5.8617 5.8617 7.2033 90.00 90.00 120.00
Positions (direct):
O1 0.5000 0.5000 0.0000
O2 0.8250 0.1750 0.6787
O3 0.0000 0.5000 0.0000
O4 0.3501 0.1750 0.6787
O5 0.6499 0.8250 0.3213
O6 0.5000 0.0000 0.0000
O7 0.8250 0.6499 0.6787
O8 0.1750 0.8250 0.3213
O9 0.1750 0.3501 0.3213
Ba1 0.0000 0.0000 0.0000
Ba2 0.3333 0.6667 0.6746
Ba3 0.6667 0.3333 0.3254
Ru1 0.6667 0.3333 0.8364
Ru2 0.3333 0.6667 0.1636
Tm1 0.0000 0.0000 0.5000

---

Material: BaTm2RuO8
Method: DFT, GGA-PBE
State: optimized geometry

Output
Space group: P-1 (2)
VASP energy (eV/atom): -7.169
Magnetic moment (μB per formula unit): 2.0
Raw formation energy (eV/atom): -2.185

Lattice parameters (Å, degrees): 5.2439 4.3321 7.1572 72.48 91.58 93.26
Positions (direct):
O1 0.5021 0.3204 0.5105
O2 0.3089 0.8392 0.9032
O3 0.0385 0.3573 0.7578
O4 0.9615 0.6427 0.2422
O5 0.6911 0.1608 0.0968
O6 0.7647 0.7800 0.8717
O7 0.4979 0.6796 0.4894
O8 0.2353 0.2200 0.1283
Tm1 0.4682 0.3821 0.8126
Tm2 0.5318 0.6179 0.1874
Ba1 0.0000 0.0000 0.5000
Ru1 0.0000 0.0000 0.0000